(1)
TaW2: single point on PBEsol structure, SCAN.

## Properties
ΔE_f = -0.123 eV/atom
DOS(E_F) = 0.35 states/eV/atom
M_tot = 0.000 μB/atom

Geometry as CIF:
```
data_TaW2
_cell_length_a 3.1803
_cell_length_b 3.1803
_cell_length_c 5.3036
_cell_angle_alpha 107.45
_cell_angle_beta 107.45
_cell_angle_gamma 90.00
_symmetry_space_group_name_H-M 'P 1'
_symmetry_Int_Tables_number 1
loop_
_symmetry_equiv_pos_as_xyz
'x,y,z'
loop_
_atom_site_label
_atom_site_type_symbol
_atom_site_fract_x
_atom_site_fract_y
_atom_site_fract_z
_atom_site_occupancy
W1 W 0.8299 0.8299 0.6598 1
W2 W 0.1701 0.1701 0.3402 1
Ta1 Ta 0.5000 0.5000 0.0000 1
```

(2)
Ta4W: single point on PBEsol structure, SCAN.

## Properties
ΔE_f = -0.053 eV/atom
DOS(E_F) = 1.09 states/eV/atom
M_tot = 0.000 μB/atom

Geometry as CIF:
```
data_Ta4W
_cell_length_a 3.2286
_cell_length_b 5.4057
_cell_length_c 5.4057
_cell_angle_alpha 84.88
_cell_angle_beta 72.62
_cell_angle_gamma 72.62
_symmetry_space_group_name_H-M 'P 1'
_symmetry_Int_Tables_number 1
loop_
_symmetry_equiv_pos_as_xyz
'x,y,z'
loop_
_atom_site_label
_atom_site_type_symbol
_atom_site_fract_x
_atom_site_fract_y
_atom_site_fract_z
_atom_site_occupancy
W1 W 0.0000 0.0000 0.0000 1
Ta1 Ta 0.2064 0.3889 0.1983 1
Ta2 Ta 0.5953 0.1983 0.6111 1
Ta3 Ta 0.7936 0.6111 0.8017 1
Ta4 Ta 0.4047 0.8017 0.3889 1
```

(3)
Ta3W4: single point on PBEsol structure, SCAN.

## Properties
ΔE_f = -0.103 eV/atom
DOS(E_F) = 0.44 states/eV/atom
M_tot = 0.000 μB/atom

Geometry as CIF:
```
data_Ta3W4
_cell_length_a 3.1896
_cell_length_b 3.1896
_cell_length_c 11.5195
_cell_angle_alpha 97.96
_cell_angle_beta 97.96
_cell_angle_gamma 90.00
_symmetry_space_group_name_H-M 'P 1'
_symmetry_Int_Tables_number 1
loop_
_symmetry_equiv_pos_as_xyz
'x,y,z'
loop_
_atom_site_label
_atom_site_type_symbol
_atom_site_fract_x
_atom_site_fract_y
_atom_site_fract_z
_atom_site_occupancy
W1 W 0.1402 0.1402 0.2805 1
W2 W 0.4278 0.4278 0.8556 1
W3 W 0.5722 0.5722 0.1444 1
W4 W 0.8598 0.8598 0.7195 1
Ta1 Ta 0.0000 0.0000 0.0000 1
Ta2 Ta 0.2876 0.2876 0.5753 1
Ta3 Ta 0.7124 0.7124 0.4247 1
```

(4)
TaW5: single point on PBEsol structure, SCAN.

## Properties
ΔE_f = -0.072 eV/atom
DOS(E_F) = 0.37 states/eV/atom
M_tot = 0.000 μB/atom

Geometry as CIF:
```
data_TaW5
_cell_length_a 4.4831
_cell_length_b 4.4802
_cell_length_c 5.2593
_cell_angle_alpha 64.79
_cell_angle_beta 90.00
_cell_angle_gamma 90.00
_symmetry_space_group_name_H-M 'P 1'
_symmetry_Int_Tables_number 1
loop_
_symmetry_equiv_pos_as_xyz
'x,y,z'
loop_
_atom_site_label
_atom_site_type_symbol
_atom_site_fract_x
_atom_site_fract_y
_atom_site_fract_z
_atom_site_occupancy
W1 W 0.5000 0.3322 0.3357 1
W2 W 0.0000 0.1684 0.6631 1
W3 W 0.5000 0.0000 0.0000 1
W4 W 0.0000 0.8316 0.3369 1
W5 W 0.5000 0.6678 0.6643 1
Ta1 Ta 0.0000 0.5000 0.0000 1
```